Entry 1:
# PBE-GGA K4MnTc, optimized geometry
# DFT formation energy	8.44	eV per formula unit
# DOS(E_F)	26.30	states/eV per cell
data_K4MnTc
_cell_length_a 10.0689
_cell_length_b 10.0689
_cell_length_c 10.0689
_cell_angle_alpha 90.00
_cell_angle_beta 90.00
_cell_angle_gamma 90.00
_symmetry_space_group_name_H-M 'F -4 3 m'
_symmetry_Int_Tables_number 216
_symmetry_space_group_name_Hall 'F -4 2 3'
loop_
_atom_site_label
_atom_site_fract_x
_atom_site_fract_y
_atom_site_fract_z
K1 0.1253 0.1253 0.1253
Mn1 0.2500 0.2500 0.7500
Tc1 0.0000 0.0000 0.5000

Entry 2:
# PBE-GGA NaSrNd2S4, optimized geometry
# raw formation energy	-15.414	eV per formula unit
# DOS(E_F)	10.97	states/eV per cell
data_NaSrNd2S4
_cell_length_a 8.2758
_cell_length_b 8.2867
_cell_length_c 11.6970
_cell_angle_alpha 90.00
_cell_angle_beta 90.00
_cell_angle_gamma 90.00
_symmetry_space_group_name_H-M 'I m m a'
_symmetry_Int_Tables_number 74
_symmetry_space_group_name_Hall '-I 2b 2'
loop_
_atom_site_label
_atom_site_fract_x
_atom_site_fract_y
_atom_site_fract_z
Na1 0.0000 0.0000 0.0000
Sr1 0.2500 0.2500 0.2500
Nd1 0.0000 0.0000 0.5000
Nd2 0.2500 0.2500 0.7500
S1 0.0000 0.0080 0.7469
S2 0.2416 0.2500 0.5048